No. 1
This record from Alexandria describes a relaxed CdSb2As crystal. The functional is GGA-PBE.

Values from the calculation:
N(E_F)	3.89	states/eV/f.u.
VASP energy	-26.47	eV for the cell shown
energy relative to the elements, uncorrected	0.14	eV/atom

a = 6.449 Å, b = 6.449 Å, c = 8.021 Å
α = 66.29°, β = 66.29°, γ = 90.00°
Fractional positions:
As 0.250 0.750 0.500
Sb 0.137 0.625 0.250
Sb 0.613 0.125 0.250
Cd 0.750 0.250 0.500
Sb 0.875 0.863 0.750
Sb 0.375 0.387 0.750
As 0.500 0.500 0.000
Cd 0.000 0.000 0.000

---

No. 2
This record from Alexandria describes a relaxed SbTe2P crystal. The functional is GGA-PBE.

Values from the calculation:
N(E_F)	3.28	states/eV/f.u.
VASP energy	-13.78	eV for the cell shown
energy relative to the elements, uncorrected	0.51	eV/atom

a = 5.185 Å, b = 5.185 Å, c = 5.185 Å
α = 60.00°, β = 60.00°, γ = 60.00°
Fractional positions:
Sb 0.250 0.250 0.250
Te 0.750 0.750 0.750
Te 0.000 0.000 0.000
P 0.500 0.500 0.500

---

No. 3
This record from Alexandria describes a relaxed ScTa2Cl crystal. The functional is GGA-PBE.

Values from the calculation:
N(E_F)	3.58	states/eV/f.u.
VASP energy	-30.10	eV for the cell shown
energy relative to the elements, uncorrected	0.45	eV/atom

a = 5.571 Å, b = 5.571 Å, c = 3.013 Å
α = 90.00°, β = 90.00°, γ = 123.59°
Fractional positions:
Sc 0.000 0.500 0.500
Ta 0.000 0.000 0.000
Cl 0.500 0.000 0.500
Ta 0.500 0.500 0.000

---

No. 4
This record from Alexandria describes a relaxed MoPtN2 crystal. The functional is GGA-PBE.

Values from the calculation:
N(E_F)	2.17	states/eV/f.u.
VASP energy	-33.54	eV for the cell shown
energy relative to the elements, uncorrected	0.00	eV/atom

a = 6.707 Å, b = 6.707 Å, c = 6.707 Å
α = 25.00°, β = 25.00°, γ = 25.00°
Fractional positions:
Mo 0.500 0.500 0.500
Pt 0.000 0.000 0.000
N 0.103 0.103 0.103
N 0.897 0.897 0.897

---

No. 5
This record from Alexandria describes a relaxed Ta2IrBr crystal. The functional is GGA-PBE.

Values from the calculation:
N(E_F)	2.95	states/eV/f.u.
VASP energy	-62.36	eV for the cell shown
energy relative to the elements, uncorrected	0.76	eV/atom

a = 6.233 Å, b = 6.233 Å, c = 6.654 Å
α = 62.07°, β = 62.07°, γ = 90.00°
Fractional positions:
Ta 0.875 0.891 0.750
Ta 0.375 0.359 0.750
Ir 0.750 0.250 0.500
Ir 0.000 0.000 0.000
Ta 0.641 0.125 0.250
Br 0.500 0.500 0.000
Br 0.250 0.750 0.500
Ta 0.109 0.625 0.250

---

No. 6
This record from Alexandria describes a relaxed LiTbPtAu crystal. The functional is GGA-PBE.

Values from the calculation:
N(E_F)	1.79	states/eV/f.u.
calculated formation energy	-0.827	eV per atom
VASP energy	-19.17	eV for the cell shown

a = 4.480 Å, b = 5.245 Å, c = 5.218 Å
α = 129.58°, β = 115.42°, γ = 90.00°
Fractional positions:
Au 0.528 0.472 0.056
Pt 0.971 0.030 0.941
Tb 0.747 0.253 0.494
Li 0.255 0.745 0.509

---

No. 7
This record from Alexandria describes a relaxed NdY5Ag6 crystal. The functional is GGA-PBE.

Values from the calculation:
N(E_F)	6.64	states/eV/f.u.
calculated formation energy	-0.317	eV per atom
VASP energy	-58.00	eV for the cell shown

a = 5.200 Å, b = 7.278 Å, c = 8.229 Å
α = 90.00°, β = 71.58°, γ = 90.00°
Fractional positions:
Ag 0.830 0.254 0.339
Ag 0.500 0.743 0.000
Y 0.332 0.000 0.335
Y 0.334 0.500 0.332
Ag 0.170 0.746 0.661
Ag 0.500 0.257 0.000
Ag 0.830 0.746 0.339
Y 0.668 0.000 0.665
Ag 0.170 0.254 0.661
Y 0.000 0.500 0.000
Nd 0.000 0.000 0.000
Y 0.666 0.500 0.668

---

No. 8
This record from Alexandria describes a relaxed La2Zr2Si2H crystal. The functional is GGA-PBE.

Values from the calculation:
N(E_F)	6.92	states/eV/f.u.
VASP energy	-45.61	eV for the cell shown

a = 4.280 Å, b = 4.280 Å, c = 8.774 Å
α = 104.12°, β = 104.12°, γ = 90.00°
Each line ends with the local moment (μB).
Fractional positions:
Si 0.618 0.618 0.236  -0.01
La 0.820 0.820 0.640  0.13
Zr 0.500 0.000 0.000  0.02
La 0.180 0.180 0.360  0.13
Zr 0.000 0.500 0.000  0.02
H 0.000 0.000 0.000  0.00
Si 0.382 0.382 0.764  -0.01

---

No. 9
This record from Alexandria describes a relaxed Sc6Cd5Rh crystal. The functional is GGA-PBE.

Values from the calculation:
N(E_F)	8.94	states/eV/f.u.
calculated formation energy	-0.399	eV per atom
VASP energy	-54.70	eV for the cell shown

a = 4.906 Å, b = 7.072 Å, c = 7.736 Å
α = 90.00°, β = 71.23°, γ = 90.00°
Fractional positions:
Cd 0.329 0.500 0.343
Cd 0.325 0.000 0.350
Sc 0.155 0.762 0.689
Rh 0.000 0.000 0.000
Sc 0.500 0.230 0.000
Cd 0.675 0.000 0.650
Cd 0.000 0.500 0.000
Cd 0.671 0.500 0.657
Sc 0.500 0.770 0.000
Sc 0.845 0.762 0.311
Sc 0.845 0.238 0.311
Sc 0.155 0.238 0.689

---

No. 10
This record from Alexandria describes a relaxed TaFeAg2 crystal. The functional is GGA-PBE.

Values from the calculation:
N(E_F)	3.33	states/eV/f.u.
calculated formation energy	0.434	eV per atom
VASP energy	-24.28	eV for the cell shown

a = 2.956 Å, b = 4.508 Å, c = 4.947 Å
α = 90.00°, β = 90.00°, γ = 90.00°
Each line ends with the local moment (μB).
Fractional positions:
Fe 0.500 0.000 0.500  2.28
Ta 0.000 0.500 0.500  -0.30
Ag 0.500 0.500 0.000  -0.01
Ag 0.000 0.000 0.000  0.00

---

No. 11
This record from Alexandria describes a relaxed Pr4TlBr5 crystal. The functional is GGA-PBE.

Values from the calculation:
N(E_F)	5.34	states/eV/f.u.
VASP energy	-43.12	eV for the cell shown
energy relative to the elements, uncorrected	-1.33	eV/atom

a = 4.293 Å, b = 8.988 Å, c = 9.598 Å
α = 100.38°, β = 102.92°, γ = 90.00°
Fractional positions:
Pr 0.667 0.066 0.333
Pr 0.003 0.245 0.007
Pr 0.997 0.755 0.993
Br 0.167 0.818 0.333
Tl 0.500 0.000 0.000
Pr 0.333 0.934 0.667
Br 0.168 0.311 0.337
Br 0.833 0.182 0.667
Br 0.500 0.500 0.000
Br 0.832 0.689 0.663

---

No. 12
This record from Alexandria describes a relaxed Sm12Dy7Cd crystal. The functional is GGA-PBE.

Values from the calculation:
N(E_F)	26.71	states/eV/f.u.
calculated formation energy	0.682	eV per atom
VASP energy	-76.11	eV for the cell shown

a = 9.908 Å, b = 9.908 Å, c = 9.908 Å
α = 109.47°, β = 109.47°, γ = 109.47°
Fractional positions:
Sm 0.481 0.241 0.240
Sm 0.759 0.240 0.999
Sm 0.519 0.759 0.760
Dy 0.500 0.000 0.500
Sm 0.759 0.760 0.519
Sm 0.240 0.999 0.759
Dy 0.000 0.500 0.000
Sm 0.241 0.760 0.001
Sm 0.001 0.241 0.760
Sm 0.999 0.759 0.240
Sm 0.240 0.481 0.241
Dy 0.500 0.500 0.500
Sm 0.760 0.001 0.241
Dy 0.000 0.500 0.500
Sm 0.760 0.519 0.759
Dy 0.500 0.000 0.000
Dy 0.500 0.500 0.000
Dy 0.000 0.000 0.500
Cd 0.000 0.000 0.000
Sm 0.241 0.240 0.481

---

No. 13
This record from Alexandria describes a relaxed PrYCdBi crystal. The functional is GGA-PBE.

Values from the calculation:
N(E_F)	3.43	states/eV/f.u.
calculated formation energy	-0.466	eV per atom
VASP energy	-17.90	eV for the cell shown

a = 5.483 Å, b = 5.483 Å, c = 5.483 Å
α = 60.00°, β = 60.00°, γ = 60.00°
Fractional positions:
Cd 0.000 0.000 0.000
Y 0.750 0.750 0.750
Bi 0.500 0.500 0.500
Pr 0.250 0.250 0.250

---

No. 14
This record from Alexandria describes a relaxed Fe2CuAs crystal. The functional is GGA-PBE.

Values from the calculation:
N(E_F)	3.84	states/eV/f.u.
calculated formation energy	0.284	eV per atom
VASP energy	-24.53	eV for the cell shown

a = 8.037 Å, b = 8.037 Å, c = 8.037 Å
α = 19.61°, β = 19.61°, γ = 19.61°
Each line ends with the local moment (μB).
Fractional positions:
Fe 0.502 0.502 0.502  2.02
As 0.250 0.250 0.250  -0.10
Cu 0.750 0.750 0.750  0.08
Fe 0.998 0.998 0.998  2.02

---

No. 15
This record from Alexandria describes a relaxed Sm2Tm5Th4 crystal. The functional is GGA-PBE.

Values from the calculation:
N(E_F)	15.88	states/eV/f.u.
calculated formation energy	0.032	eV per atom
VASP energy	-61.13	eV for the cell shown

a = 3.563 Å, b = 9.339 Å, c = 11.838 Å
α = 106.99°, β = 81.43°, γ = 112.35°
Fractional positions:
Th 0.228 0.545 0.635
Tm 0.962 0.099 0.274
Th 0.315 0.361 0.093
Sm 0.131 0.721 0.181
Th 0.772 0.455 0.365
Tm 0.587 0.816 0.458
Tm 0.500 0.000 0.000
Tm 0.413 0.184 0.542
Sm 0.869 0.279 0.819
Tm 0.038 0.901 0.726
Th 0.685 0.639 0.907

---

No. 16
This record from Alexandria describes a relaxed PmNp2PaP4 crystal. The functional is GGA-PBE.

Values from the calculation:
N(E_F)	20.60	states/eV/f.u.
calculated formation energy	-1.149	eV per atom
VASP energy	-70.96	eV for the cell shown

a = 4.011 Å, b = 6.957 Å, c = 6.916 Å
α = 109.58°, β = 90.00°, γ = 90.00°
Each line ends with the local moment (μB).
Fractional positions:
Pm 0.000 0.000 0.000  0.03
Pa 0.500 0.500 0.000  0.50
P 0.000 0.746 0.253  -0.07
P 0.500 0.260 0.259  -0.07
Np 0.000 0.500 0.500  3.59
P 0.000 0.254 0.747  -0.07
Np 0.500 0.000 0.500  3.69
P 0.500 0.740 0.741  -0.07

---

No. 17
This record from Alexandria describes a relaxed La4AgSeCl2 crystal. The functional is GGA-PBE.

Values from the calculation:
N(E_F)	6.25	states/eV/f.u.
VASP energy	-40.23	eV for the cell shown
energy relative to the elements, uncorrected	-1.31	eV/atom

a = 4.338 Å, b = 7.254 Å, c = 7.527 Å
α = 69.75°, β = 90.00°, γ = 90.00°
Fractional positions:
La 0.000 0.240 0.261
Ag 0.500 0.500 0.000
La 0.500 0.245 0.743
La 0.000 0.760 0.739
Cl 0.000 0.000 0.000
Cl 0.500 0.000 0.500
Se 0.000 0.500 0.500
La 0.500 0.755 0.257

---

No. 18
This record from Alexandria describes a relaxed LiBeMo2Rh crystal. The functional is GGA-PBE.

Values from the calculation:
N(E_F)	3.91	states/eV/f.u.
calculated formation energy	1.219	eV per atom
VASP energy	-28.56	eV for the cell shown

a = 4.115 Å, b = 4.147 Å, c = 4.115 Å
α = 90.00°, β = 90.00°, γ = 90.00°
Fractional positions:
Be 0.500 0.500 0.500
Rh 0.000 0.500 0.000
Li 0.000 0.000 0.000
Mo 0.000 0.000 0.500
Mo 0.500 0.000 0.000

---

No. 19
This record from Alexandria describes a relaxed Mg2GeBi crystal. The functional is GGA-PBE.

Values from the calculation:
N(E_F)	2.97	states/eV/f.u.
calculated formation energy	0.055	eV per atom
VASP energy	-22.93	eV for the cell shown

a = 7.987 Å, b = 7.987 Å, c = 6.445 Å
α = 51.71°, β = 51.71°, γ = 90.00°
Fractional positions:
Bi 0.000 0.000 0.000
Ge 0.500 0.500 0.000
Ge 0.250 0.750 0.500
Mg 0.375 0.413 0.750
Mg 0.587 0.125 0.250
Mg 0.875 0.837 0.750
Mg 0.163 0.625 0.250
Bi 0.750 0.250 0.500

---

No. 20
This record from Alexandria describes a relaxed Pr7NdTm2 crystal. The functional is GGA-PBE.

Values from the calculation:
N(E_F)	15.51	states/eV/f.u.
calculated formation energy	0.017	eV per atom
VASP energy	-47.00	eV for the cell shown

a = 5.192 Å, b = 8.973 Å, c = 9.709 Å
α = 108.22°, β = 74.48°, γ = 125.25°
Fractional positions:
Nd 0.000 0.000 0.000
Tm 0.603 0.401 0.597
Pr 0.099 0.897 0.598
Tm 0.397 0.599 0.403
Pr 0.803 0.202 0.799
Pr 0.901 0.103 0.402
Pr 0.197 0.798 0.201
Pr 0.500 0.500 0.000
Pr 0.298 0.696 0.795
Pr 0.702 0.304 0.205

---

No. 21
This record from Alexandria describes a relaxed SrPdAu2 crystal. The functional is GGA-PBE.

Values from the calculation:
N(E_F)	2.18	states/eV/f.u.
calculated formation energy	-0.322	eV per atom
VASP energy	-29.43	eV for the cell shown

a = 4.809 Å, b = 4.809 Å, c = 9.963 Å
α = 76.03°, β = 76.03°, γ = 90.00°
Fractional positions:
Pd 0.000 0.000 0.000
Sr 0.500 0.500 0.000
Au 0.375 0.247 0.750
Pd 0.750 0.250 0.500
Au 0.997 0.625 0.250
Sr 0.250 0.750 0.500
Au 0.875 0.003 0.750
Au 0.753 0.125 0.250

---

No. 22
This record from Alexandria describes a relaxed NdDy2Y3Se6 crystal. The functional is GGA-PBE.

Values from the calculation:
N(E_F)	5.44	states/eV/f.u.
VASP energy	-75.55	eV for the cell shown
energy relative to the elements, uncorrected	-1.77	eV/atom

a = 7.118 Å, b = 7.118 Å, c = 7.119 Å
α = 99.54°, β = 99.54°, γ = 120.25°
Fractional positions:
Se 0.085 0.428 0.255
Dy 0.665 0.335 0.000
Se 0.259 0.259 0.750
Se 0.428 0.085 0.255
Y 0.160 0.840 0.500
Se 0.741 0.741 0.250
Se 0.572 0.915 0.745
Se 0.915 0.572 0.745
Y 0.840 0.160 0.500
Y 0.500 0.500 0.500
Nd 0.000 0.000 0.000
Dy 0.335 0.665 0.000

---

No. 23
This record from Alexandria describes a relaxed LaSm3Tc crystal. The functional is GGA-PBE.

Values from the calculation:
N(E_F)	5.21	states/eV/f.u.
calculated formation energy	0.010	eV per atom
VASP energy	-58.80	eV for the cell shown

a = 4.030 Å, b = 6.502 Å, c = 12.430 Å
α = 81.48°, β = 80.67°, γ = 71.95°
Fractional positions:
Sm 0.099 0.180 0.623
Sm 0.982 0.137 0.898
Tc 0.785 0.285 0.145
La 0.119 0.473 0.290
Sm 0.761 0.721 0.758
Tc 0.425 0.393 0.758
Sm 0.791 0.031 0.387
Sm 0.429 0.618 0.525
La 0.224 0.542 0.009
Sm 0.447 0.958 0.149

---

No. 24
This record from Alexandria describes a relaxed BeAgIrF2 crystal. The functional is GGA-PBE.

Values from the calculation:
N(E_F)	3.32	states/eV/f.u.
VASP energy	-22.11	eV for the cell shown
energy relative to the elements, uncorrected	-0.59	eV/atom

a = 3.547 Å, b = 6.458 Å, c = 3.547 Å
α = 90.00°, β = 90.00°, γ = 90.00°
Each line ends with the local moment (μB).
Fractional positions:
Ag 0.000 0.500 0.000  0.06
Ir 0.500 0.500 0.500  1.17
F 0.000 0.000 0.500  0.01
F 0.500 0.000 0.000  0.01
Be 0.000 0.000 0.000  0.00